Entry 1:
Density functional theory data (PBE-GGA) for a relaxed structure of AlCu3Ir.

The structure belongs to space group Pm-3m (No. 221); the cell edges are 4.2858, 4.2858 and 4.2858 Å and the angles 90.00°, 90.00° and 90.00°. The inequivalent atoms are Al at (0.0000, 0.0000, 0.0000), Cu at (0.0000, 0.0000, 0.5000) and Ir at (0.5000, 0.5000, 0.5000).

As for the density of states at the Fermi level: 2.85 states/eV/f.u. As for the total magnetization: 0.000 μB per cell. The value obtained for the energy relative to the elements is 1.056 eV/atom. The energy above the lowest structure with this stoichiometry comes out at 11 meV/atom.

=====

Entry 2:
Density functional theory data (PBE-GGA) for a relaxed structure of Ac2PmPrNd5.

The structure belongs to space group Cmc2_1 (No. 36); the cell edges are 5.9084, 20.8329 and 11.0704 Å and the angles 90.00°, 90.00° and 90.00°. The inequivalent atoms are Ac at (0.0000, 0.1138, 0.0000), Ac at (0.0000, 0.1182, 0.5918), Pm at (0.0000, 0.2082, 0.2780), Pr at (0.0000, 0.4118, 0.7310), Nd at (0.0000, 0.0192, 0.2944), Nd at (0.0000, 0.2826, 0.5799), Nd at (0.0000, 0.2961, 0.9727), Nd at (0.0000, 0.3936, 0.2925) and Nd at (0.0000, 0.4806, 0.0106).

As for the density of states at the Fermi level: 12.85 states/eV/f.u. As for the total magnetization: 0.000 μB per cell. The value obtained for the energy relative to the elements is 0.130 eV/atom.

=====

Entry 3:
Density functional theory data (PBE-GGA) for a relaxed structure of Li2Ni9B3.

The structure belongs to space group C2/c (No. 15); the cell edges are 11.2090, 6.2589 and 8.5619 Å and the angles 90.00°, 114.80° and 90.00°. The inequivalent atoms are Li at (0.1762, 0.0840, 0.2513), Ni at (0.0000, 0.3417, 0.2500), Ni at (0.0551, 0.0479, 0.9133), Ni at (0.1004, 0.3999, 0.0406), Ni at (0.1155, 0.3004, 0.7455), Ni at (0.2316, 0.4114, 0.4234), B at (0.0914, 0.2577, 0.5026) and B at (0.2500, 0.2500, 0.0000).

As for the density of states at the Fermi level: 8.23 states/eV/f.u. As for the total magnetization: 0.000 μB per cell. The value obtained for the energy relative to the elements is -0.181 eV/atom.

=====

Entry 4:
Density functional theory data (PBE-GGA) for a relaxed structure of La2PmNd4Sm2.

The structure belongs to space group C2/m (No. 12); the cell edges are 19.2797, 3.7163 and 9.8640 Å and the angles 90.00°, 115.73° and 90.00°. The inequivalent atoms are La at (0.1662, 0.0000, 0.4987), Pm at (0.0000, 0.5000, 0.5000), Nd at (0.0188, 0.0000, 0.8341), Nd at (0.1855, 0.5000, 0.8336) and Sm at (0.1480, 0.5000, 0.1665).

As for the density of states at the Fermi level: 13.07 states/eV/f.u. As for the total magnetization: 0.000 μB per cell. The value obtained for the energy relative to the elements is 0.006 eV/atom.